PBE TmPuCu4, relaxed; ΔH_f (0 K) = -82 meV/atom; uncorrected energy = -5.95 eV per atom
1.0
-0.594 -1.320 5.019
2.984 -3.745 2.087
3.692 1.239 3.481
Tm Cu Pu
1 4 1
Direct
0.000 0.000 0.000
0.626 0.626 0.626
0.626 0.123 0.626
0.123 0.626 0.626
0.626 0.626 0.123
0.250 0.250 0.250

PBE TmPuCu10, relaxed; ΔH_f (0 K) = -107 meV/atom; uncorrected energy = -5.09 eV per atom
1.0
-1.422 -3.290 1.924
3.615 -2.799 -2.115
5.234 1.673 6.730
Cu Pu Tm
10 1 1
Direct
0.500 0.752 0.246
0.000 0.000 0.329
0.500 0.248 0.754
0.500 0.000 0.500
0.500 0.248 0.246
0.500 0.752 0.754
0.000 0.000 0.671
0.000 0.500 0.837
0.500 0.500 0.000
0.000 0.500 0.163
0.000 0.500 0.500
0.000 0.000 0.000

PBE TmPu2Cu9, relaxed; ΔH_f (0 K) = -105 meV/atom; uncorrected energy = -5.94 eV per atom
1.0
-0.793 -5.021 0.462
2.599 -2.685 3.476
-5.420 -1.099 6.951
Cu Tm Pu
9 1 2
Direct
0.421 0.916 0.241
0.668 0.668 0.996
0.579 0.579 0.759
0.500 0.500 0.500
0.084 0.579 0.759
0.579 0.084 0.759
0.916 0.421 0.241
0.421 0.421 0.241
0.332 0.332 0.004
0.000 0.000 0.000
0.853 0.853 0.440
0.147 0.147 0.560

PBE YPuCu4, relaxed; ΔH_f (0 K) = -58 meV/atom; uncorrected energy = -6.25 eV per atom
1.0
5.259 0.000 0.000
2.630 4.555 0.000
2.630 1.518 4.294
Cu Y Pu
4 1 1
Direct
0.126 0.625 0.625
0.625 0.625 0.126
0.625 0.126 0.625
0.625 0.625 0.625
0.250 0.250 0.250
0.000 0.000 0.000

PBE YPuCu, relaxed; E above lowest polymorph = 0.000 eV per atom; ΔH_f (0 K) = 44 meV/atom; uncorrected energy = -8.25 eV per atom
1.0
3.452 0.000 0.000
0.000 3.452 0.000
-1.726 -1.726 6.110
Y Pu Cu
1 1 1
Direct
0.306 0.306 0.612
0.023 0.023 0.046
0.671 0.671 0.342

PBE YPuCu, relaxed; E above lowest polymorph = 0.188 eV per atom; ΔH_f (0 K) = 232 meV/atom; uncorrected energy = -8.07 eV per atom
1.0
3.492 0.000 0.000
-1.746 3.908 -2.416
0.000 -5.133 12.953
Pu Y Cu
2 2 2
Direct
0.363 0.725 0.026
0.637 0.275 0.974
0.812 0.623 0.640
0.188 0.377 0.360
0.314 0.628 0.227
0.686 0.372 0.773

PBE YPuZnCu, relaxed; ΔH_f (0 K) = -76 meV/atom; uncorrected energy = -6.62 eV per atom
1.0
5.000 0.000 0.000
2.500 4.330 0.000
2.500 1.443 4.083
Pu Zn Cu Y
1 1 1 1
Direct
0.750 0.750 0.750
0.500 0.500 0.500
0.000 0.000 0.000
0.250 0.250 0.250

PBE PuZn2Cu3, relaxed; ΔH_f (0 K) = -44 meV/atom; uncorrected energy = -4.91 eV per atom
1.0
-3.494 2.848 2.371
-4.531 -2.748 -3.376
0.123 -3.929 4.902
Pu Cu Zn
2 6 4
Direct
0.250 0.318 0.318
0.750 0.682 0.682
0.250 0.945 0.945
0.250 0.902 0.555
0.750 0.098 0.445
0.750 0.445 0.098
0.750 0.055 0.055
0.250 0.555 0.902
0.500 0.224 0.776
0.500 0.776 0.224
0.000 0.224 0.776
0.000 0.776 0.224

PBE PuZn3Cu9, relaxed; ΔH_f (0 K) = -28 meV/atom; uncorrected energy = -4.26 eV per atom
1.0
0.069 -2.829 4.017
-1.021 -6.254 -1.471
6.076 -2.240 1.324
Cu Zn Pu
9 3 1
Direct
0.501 0.778 0.220
0.346 0.641 0.646
0.279 0.222 0.220
0.654 0.359 0.354
0.000 0.500 0.000
0.008 0.359 0.646
0.721 0.778 0.780
0.992 0.641 0.354
0.499 0.222 0.780
0.000 0.000 0.500
0.500 0.000 0.500
0.500 0.500 0.000
0.000 0.000 0.000

PBE Pu2Zn3Cu2, relaxed; ΔH_f (0 K) = 61 meV/atom; uncorrected energy = -5.75 eV per atom
1.0
3.435 0.000 0.000
-1.717 5.870 -0.449
0.000 -3.448 5.976
Pu Zn Cu
2 3 2
Direct
0.814 0.628 0.127
0.186 0.372 0.873
0.426 0.852 0.573
0.500 0.000 0.000
0.574 0.148 0.427
0.826 0.652 0.690
0.174 0.348 0.310

PBE PuZn4Cu2, relaxed; ΔH_f (0 K) = -86 meV/atom; uncorrected energy = -4.03 eV per atom
1.0
-0.652 -4.978 0.553
4.201 -3.178 -0.812
0.820 -2.109 4.826
Zn Pu Cu
4 1 2
Direct
0.308 0.385 0.000
0.692 0.000 0.615
0.308 0.000 0.385
0.692 0.615 0.000
0.000 0.000 0.000
0.250 0.500 0.500
0.750 0.500 0.500

PBE PuZn6Cu12, relaxed; ΔH_f (0 K) = 97 meV/atom; uncorrected energy = -3.65 eV per atom
1.0
-4.801 0.887 4.693
-3.187 -3.565 -4.796
4.096 -4.582 2.846
Zn Cu Pu
6 12 1
Direct
0.697 0.285 0.285
0.285 0.697 0.285
0.715 0.303 0.715
0.715 0.715 0.303
0.285 0.285 0.697
0.303 0.715 0.715
0.626 0.626 0.884
0.890 0.110 0.500
0.110 0.890 0.500
0.116 0.374 0.374
0.626 0.884 0.626
0.110 0.500 0.890
0.374 0.116 0.374
0.500 0.890 0.110
0.890 0.500 0.110
0.884 0.626 0.626
0.374 0.374 0.116
0.500 0.110 0.890
0.000 0.000 0.000

PBE PuZn5Cu7, relaxed; ΔH_f (0 K) = -40 meV/atom; uncorrected energy = -3.84 eV per atom
1.0
4.588 0.000 1.884
2.306 6.151 0.914
-0.043 -0.010 6.632
Cu Zn Pu
7 5 1
Direct
0.352 0.648 0.648
0.002 0.354 0.643
0.501 0.776 0.222
0.002 0.643 0.354
0.281 0.219 0.219
0.642 0.358 0.358
0.501 0.222 0.776
0.719 0.781 0.781
0.500 0.002 0.495
0.500 0.495 0.002
0.002 0.495 0.002
0.002 0.002 0.495
0.995 0.005 0.005

PBE Pu2ZnCu, relaxed; ΔH_f (0 K) = 409 meV/atom; uncorrected energy = -8.10 eV per atom
1.0
-1.648 -1.370 -1.534
0.937 -1.879 -1.593
-1.583 -8.886 7.372
Pu Zn Cu
2 1 1
Direct
0.910 0.910 0.271
0.090 0.090 0.729
0.000 0.000 0.000
0.500 0.500 0.500

PBE PuZn5Cu2, relaxed; ΔH_f (0 K) = -84 meV/atom; uncorrected energy = -3.70 eV per atom
1.0
3.707 0.000 1.232
1.434 5.806 1.879
-0.024 0.241 6.264
Pu Cu Zn
1 2 5
Direct
0.000 0.000 0.000
0.743 0.757 0.757
0.257 0.243 0.243
0.647 0.540 0.167
0.000 0.500 0.500
0.353 0.833 0.460
0.353 0.460 0.833
0.647 0.167 0.540

PBE PuZn8Cu4, relaxed; ΔH_f (0 K) = -119 meV/atom; uncorrected energy = -3.27 eV per atom
1.0
-1.414 -3.004 -3.673
5.309 -2.796 -3.093
-0.905 -6.324 2.183
Cu Pu Zn
4 1 8
Direct
0.000 0.000 0.500
0.500 0.500 0.000
0.500 0.000 0.500
0.000 0.500 0.000
0.000 0.000 0.000
0.500 0.219 0.781
0.500 0.781 0.219
0.348 0.652 0.652
0.719 0.781 0.781
0.652 0.348 0.348
0.000 0.652 0.348
0.281 0.219 0.219
0.000 0.348 0.652

PBE Pu2Zn12Cu5, relaxed; ΔH_f (0 K) = -133 meV/atom; uncorrected energy = -3.52 eV per atom
1.0
6.668 0.095 0.664
0.611 6.641 0.664
0.103 0.095 6.700
Zn Cu Pu
12 5 2
Direct
0.346 0.859 0.346
0.000 0.711 0.289
0.346 0.346 0.859
0.711 0.289 0.000
0.654 0.654 0.141
0.000 0.289 0.711
0.141 0.654 0.654
0.289 0.711 0.000
0.859 0.346 0.346
0.654 0.141 0.654
0.289 0.000 0.711
0.711 0.000 0.289
0.500 0.000 0.000
0.000 0.500 0.000
0.895 0.895 0.895
0.105 0.105 0.105
0.000 0.000 0.500
0.346 0.346 0.346
0.654 0.654 0.654

PBE PuZn4Cu4, relaxed; ΔH_f (0 K) = 74 meV/atom; uncorrected energy = -3.91 eV per atom
1.0
4.339 0.000 0.000
0.000 8.151 0.000
0.000 0.000 8.151
Cu Zn Pu
8 8 2
Direct
0.500 0.132 0.772
0.000 0.632 0.272
0.000 0.272 0.368
0.000 0.728 0.632
0.500 0.772 0.868
0.500 0.228 0.132
0.500 0.868 0.228
0.000 0.368 0.728
0.000 0.909 0.377
0.000 0.623 0.909
0.000 0.091 0.623
0.500 0.409 0.877
0.000 0.377 0.091
0.500 0.591 0.123
0.500 0.877 0.591
0.500 0.123 0.409
0.500 0.500 0.500
0.000 0.000 0.000

PBE PuZn3Cu, relaxed; ΔH_f (0 K) = -33 meV/atom; uncorrected energy = -4.48 eV per atom
1.0
5.289 0.000 0.000
0.000 6.288 0.000
0.000 -3.144 5.445
Cu Pu Zn
2 2 6
Direct
0.000 0.000 0.000
0.500 0.000 0.000
0.250 0.333 0.667
0.750 0.667 0.333
0.250 0.385 0.192
0.250 0.808 0.192
0.750 0.192 0.385
0.750 0.615 0.808
0.750 0.192 0.808
0.250 0.808 0.615

PBE PuZn9Cu2, relaxed; E above lowest polymorph = 0.074 eV per atom; ΔH_f (0 K) = -78 meV/atom; uncorrected energy = -2.91 eV per atom
1.0
2.910 0.000 0.000
0.000 8.605 0.000
0.000 -4.302 7.452
Cu Zn Pu
2 9 1
Direct
0.000 0.667 0.333
0.000 0.333 0.667
0.500 0.187 0.813
0.500 0.813 0.187
0.500 0.373 0.187
0.000 0.500 0.500
0.500 0.813 0.627
0.000 0.500 0.000
0.000 0.000 0.500
0.500 0.627 0.813
0.500 0.187 0.373
0.000 0.000 0.000